Compound: FeRe2AgO
Source: the Alexandria database
Functional: PBE+U
Structure: relaxed

Summary:
The calculation puts the total energy at -4.7022 eV per atom. As for the spin magnetization: 11.56 μB/f.u. The density comes out at 7.55 g/cm³.

The structure in CIF format:
```
data_FeRe2AgO
_chemical_formula_sum 'Fe1 Re2 Ag1 O1'
_space_group_name_H-M_alt 'P 4/m m m'
_space_group_IT_number 123
_space_group_name_Hall '-P 4 2'
_cell_length_a 4.996
_cell_length_b 4.996
_cell_length_c 4.866
_cell_angle_alpha 90.00
_cell_angle_beta 90.00
_cell_angle_gamma 90.00
loop_
_atom_site_label
_atom_site_type_symbol
_atom_site_fract_x
_atom_site_fract_y
_atom_site_fract_z
Fe1 Fe 0.000 0.000 0.000
Re1 Re 0.000 0.500 0.500
Ag1 Ag 0.000 0.000 0.500
O1 O 0.500 0.500 0.000
```